Record 1
VASP calculation (PBE-GGA) on TlSiBiO4 after structural relaxation.

Unit cell a=6.2310 b=5.7402 c=7.5764 alpha=90.00 beta=104.28 gamma=90.00
Last column: nearest neighbours and their distance in Å.
Space group P2_1/m (No. 11)
Unique sites:
1 Tl 0.1825 0.2500 0.4100  5 O 2.72-3.00
2 Si 0.2282 0.7500 0.1486  4 O 1.63-1.67
3 Bi 0.2678 0.2500 0.9448  3 O 2.24-2.27
4 O 0.0420 0.7500 0.9474  1 Si 1.67
5 O 0.0851 0.7500 0.3026  1 Si 1.63
6 O 0.3936 0.5205 0.1584  1 Si 1.66

Computed properties:
VASP energy in eV per atom: -6.267
V in Å³/atom: 18.758
Uncorrected formation energy in kJ/mol of formula units: -1193



Record 2
VASP calculation (PBE-GGA) on TmSiBiO6 after structural relaxation.

Unit cell a=5.2665 b=5.2665 c=4.5232 alpha=90.00 beta=90.00 gamma=120.00
Last column: nearest neighbours and their distance in Å.
Space group P312 (No. 149)
Unique sites:
1 Tm 0.0000 0.0000 0.0000  6 O 2.17
2 Si 0.3333 0.6667 0.0000  6 O 1.83
3 Bi 0.6667 0.3333 0.5000  6 O 2.24
4 O 0.0441 0.3828 0.2287  1 Si 1.83

Computed properties:
VASP energy in eV per atom: -6.830
V in Å³/atom: 12.072
Uncorrected formation energy in kJ/mol of formula units: -1732